# La5Sb4S

A relaxed structure of La5Sb4S (PBE, Alexandria).

Values from the calculation:
The space-group type is No. 71. The calculated total energy comes out at -5.955 eV/atom. The formation energy without anion corrections is -1.43 eV per atom. The calculation puts the density of states at the Fermi level at 3.57 states/eV/cell. The calculated volume is 33.2 Å³ per atom. The energy relative to the lowest polymorph listed for this composition is 6 meV per atom.

a = 12.0174 Å, b = 12.0174 Å, c = 12.0174 Å
α = 158.26°, β = 148.86°, γ = 38.30°
Last column: nearest neighbours and their distance in Å.
Fractional coordinates of all 10 atoms:
1 La 0.0000 0.0000 0.0000  4 Sb 3.20, 2 S 3.23
2 La 0.2016 0.2016 0.0000  6 Sb 3.23-3.26
3 La 0.4072 0.4072 0.0000  2 S 3.10, 4 Sb 3.23-3.24
4 La 0.5928 0.5928 0.0000  2 S 3.10, 4 Sb 3.23-3.24
5 La 0.7984 0.7984 0.0000  6 Sb 3.23-3.26
6 Sb 0.0994 0.5994 0.5000  6 La 3.20-3.24
7 Sb 0.3049 0.8049 0.5000  6 La 3.23-3.26
8 Sb 0.6951 0.1951 0.5000  6 La 3.23-3.26
9 Sb 0.9006 0.4006 0.5000  6 La 3.20-3.24
10 S 0.5000 0.0000 0.5000  6 La 3.10-3.23

***

# La5Sb4S

A relaxed structure of La5Sb4S (PBE, Alexandria).

Values from the calculation:
The space-group type is No. 87. The calculated total energy comes out at -5.961 eV/atom. The formation energy without anion corrections is -1.44 eV per atom. The calculation puts the density of states at the Fermi level at 2.87 states/eV/cell. The calculated volume is 33.2 Å³ per atom. The energy relative to the lowest polymorph listed for this composition is 0 meV per atom.

a = 7.8647 Å, b = 7.8647 Å, c = 7.8647 Å
α = 99.68°, β = 99.68°, γ = 131.58°
Last column: nearest neighbours and their distance in Å.
Fractional coordinates of all 10 atoms:
1 La 0.0000 0.0000 0.0000  4 Sb 3.20, 2 S 3.23
2 La 0.2105 0.4023 0.6128  1 S 3.10, 5 Sb 3.23-3.27
3 La 0.4023 0.7895 0.1917  1 S 3.10, 5 Sb 3.23-3.27
4 La 0.5977 0.2105 0.8083  1 S 3.10, 5 Sb 3.23-3.27
5 La 0.7895 0.5977 0.3872  1 S 3.10, 5 Sb 3.23-3.27
6 Sb 0.0957 0.6993 0.7949  6 La 3.20-3.27
7 Sb 0.3007 0.0957 0.3964  6 La 3.20-3.27
8 Sb 0.6993 0.9043 0.6036  6 La 3.20-3.27
9 Sb 0.9043 0.3007 0.2051  6 La 3.20-3.27
10 S 0.5000 0.5000 0.0000  6 La 3.10-3.23

***

# LaSbS3

A relaxed structure of LaSbS3 (PBE, Alexandria).

Values from the calculation:
The space-group type is No. 14. The calculated total energy comes out at -5.479 eV/atom. The formation energy without anion corrections is -1.19 eV per atom. The calculation puts the density of states at the Fermi level at 0.00 states/eV/cell. The calculated volume is 30.1 Å³ per atom. The energy relative to the lowest polymorph listed for this composition is 0 meV per atom.

a = 7.8030 Å, b = 7.3164 Å, c = 10.5638 Å
α = 90.00°, β = 92.92°, γ = 90.00°
Last column: nearest neighbours and their distance in Å.
Fractional coordinates of all 20 atoms:
1 La 0.0247 0.2304 0.1368  7 S 2.89-3.10
2 La 0.0247 0.2696 0.6368  7 S 2.89-3.10
3 La 0.9753 0.7304 0.3632  7 S 2.89-3.10
4 La 0.9753 0.7696 0.8632  7 S 2.89-3.10
5 Sb 0.3673 0.6824 0.6172  3 S 2.44-2.50
6 Sb 0.3673 0.8176 0.1172  3 S 2.44-2.50
7 Sb 0.6327 0.1824 0.8828  3 S 2.44-2.50
8 Sb 0.6327 0.3176 0.3828  3 S 2.44-2.50
9 S 0.1070 0.6194 0.1174  1 Sb 2.50
10 S 0.1070 0.8806 0.6174  1 Sb 2.50
11 S 0.2349 0.0272 0.9532  1 Sb 2.50
12 S 0.2349 0.4728 0.4532  1 Sb 2.50
13 S 0.2650 0.5034 0.7936  1 Sb 2.44
14 S 0.2650 0.9966 0.2936  1 Sb 2.44
15 S 0.7350 0.0034 0.7064  1 Sb 2.44
16 S 0.7350 0.4966 0.2064  1 Sb 2.44
17 S 0.7651 0.5272 0.5468  1 Sb 2.50
18 S 0.7651 0.9728 0.0468  1 Sb 2.50
19 S 0.8930 0.1194 0.3826  1 Sb 2.50
20 S 0.8930 0.3806 0.8826  1 Sb 2.50

***

# La6Sb5S

A relaxed structure of La6Sb5S (PBE, Alexandria).

Values from the calculation:
The space-group type is No. 12. The calculated total energy comes out at -5.937 eV/atom. The formation energy without anion corrections is -1.41 eV per atom. The calculation puts the density of states at the Fermi level at 3.19 states/eV/cell. The calculated volume is 33.5 Å³ per atom.

a = 7.8915 Å, b = 7.8915 Å, c = 7.8974 Å
α = 99.61°, β = 99.61°, γ = 119.94°
Last column: nearest neighbours and their distance in Å.
Fractional coordinates of all 12 atoms:
1 La 0.0811 0.4047 0.7438  1 S 3.13, 5 Sb 3.22-3.27
2 La 0.2413 0.2413 0.2526  1 S 3.15, 5 Sb 3.24-3.30
3 La 0.4047 0.0811 0.7438  1 S 3.13, 5 Sb 3.22-3.27
4 La 0.5953 0.9189 0.2562  1 S 3.13, 5 Sb 3.22-3.27
5 La 0.7587 0.7587 0.7474  1 S 3.15, 5 Sb 3.24-3.30
6 La 0.9189 0.5953 0.2562  1 S 3.13, 5 Sb 3.22-3.27
7 Sb 0.1706 0.8294 0.0000  6 La 3.22-3.27
8 Sb 0.3339 0.6661 0.5000  6 La 3.23-3.24
9 Sb 0.5000 0.5000 0.0000  6 La 3.22-3.30
10 Sb 0.6661 0.3339 0.5000  6 La 3.23-3.24
11 Sb 0.8294 0.1706 0.0000  6 La 3.22-3.27
12 S 0.0000 0.0000 0.5000  6 La 3.13-3.15

***

calculated volume of number 1 (La5Sb4S)? 33.2 Å³ per atom

***

Which of these has the highest formation energy without anion corrections? LaSbS3

***

Which value of formation energy without anion corrections does entry 2 give? -1.44 eV per atom